Ho5ThRh4 | PBE-GGA | relaxed

Values from the calculation:
Fermi-level density of states ... 6.11 states/eV/cell
Energy of formation ... -0.702 eV/atom

abc: 9.2753 9.2753 7.4653
angles: 113.69 113.69 25.99
Element x y z (fractional)
Ho1 0.0000 0.0000 0.0000
Ho2 0.3337 0.3337 0.0899
Ho3 0.3339 0.3339 0.5796
Ho4 0.6661 0.6661 0.4204
Ho5 0.6663 0.6663 0.9101
Th1 0.0000 0.0000 0.5000
Rh1 0.1962 0.1962 0.6955
Rh2 0.4998 0.4998 0.2426
Rh3 0.5002 0.5002 0.7574
Rh4 0.8038 0.8038 0.3045